The following is a DFT calculation (PBE) of HfMgPd after structural relaxation.

Computed properties:
size of the total moment = 0.00 μB per cell
space-group type = P4/nmm, No. 129
ΔE_f = -52.33 kJ per mole of atoms

a b c (Å): 3.3262 3.3262 10.1990
angles (deg): 90.00 90.00 90.00
Closest atoms and distances in Å follow each position.
Positions (direct):
1 Mg 0.0000 0.5000 0.5975  4 Pd 2.79, 4 Mg 3.08, 1 Hf 3.12
2 Mg 0.5000 0.0000 0.4025  4 Pd 2.79, 4 Mg 3.08, 1 Hf 3.12
3 Pd 0.0000 0.5000 0.2547  4 Mg 2.79, 4 Hf 2.85
4 Pd 0.5000 0.0000 0.7453  4 Mg 2.79, 4 Hf 2.85
5 Hf 0.0000 0.5000 0.9036  4 Pd 2.85, 4 Hf 3.07, 1 Mg 3.12
6 Hf 0.5000 0.0000 0.0964  4 Pd 2.85, 4 Hf 3.07, 1 Mg 3.12

---

The following is a DFT calculation (PBE) of HfMgPd2 after structural relaxation.

Computed properties:
size of the total moment = 0.00 μB per cell
space-group type = P4/mmm, No. 123
ΔE_f = -68.62 kJ per mole of atoms

a b c (Å): 3.3206 3.3206 6.3906
angles (deg): 90.00 90.00 90.00
Closest atoms and distances in Å follow each position.
Positions (direct):
1 Pd 0.0000 0.0000 0.2553  4 Hf 2.82, 4 Mg 2.86, 1 Pd 3.13
2 Pd 0.0000 0.0000 0.7447  4 Hf 2.82, 4 Mg 2.86, 1 Pd 3.13
3 Mg 0.5000 0.5000 0.0000  8 Pd 2.86, 2 Hf 3.20
4 Hf 0.5000 0.5000 0.5000  8 Pd 2.82

---

The following is a DFT calculation (PBE) of HfMg3Pd12 after structural relaxation.

Computed properties:
size of the total moment = 0.00 μB per cell
space-group type = P4/mmm, No. 123
ΔE_f = -55.82 kJ per mole of atoms

a b c (Å): 3.9940 3.9940 15.8327
angles (deg): 90.00 90.00 90.00
Closest atoms and distances in Å follow each position.
Positions (direct):
1 Mg 0.0000 0.0000 0.5000  12 Pd 2.80-2.82
2 Mg 0.0000 0.0000 0.7475  12 Pd 2.80-2.84
3 Mg 0.0000 0.0000 0.2525  12 Pd 2.80-2.84
4 Pd 0.0000 0.5000 0.3762  4 Mg 2.80, 8 Pd 2.80-2.82
5 Pd 0.5000 0.5000 0.2511  8 Pd 2.81-2.82, 4 Mg 2.82
6 Pd 0.5000 0.0000 0.3762  4 Mg 2.80, 8 Pd 2.80-2.82
7 Pd 0.5000 0.0000 0.6238  4 Mg 2.80, 8 Pd 2.80-2.82
8 Pd 0.0000 0.5000 0.8748  2 Hf 2.81, 8 Pd 2.81-2.82, 2 Mg 2.84
9 Pd 0.5000 0.0000 0.8748  2 Hf 2.81, 8 Pd 2.81-2.82, 2 Mg 2.84
10 Pd 0.0000 0.5000 0.6238  4 Mg 2.80, 8 Pd 2.80-2.82
11 Pd 0.5000 0.5000 0.5000  8 Pd 2.80, 4 Mg 2.82
12 Pd 0.5000 0.0000 0.1252  2 Hf 2.81, 8 Pd 2.81-2.82, 2 Mg 2.84
13 Pd 0.5000 0.5000 0.7489  8 Pd 2.81-2.82, 4 Mg 2.82
14 Pd 0.5000 0.5000 0.0000  8 Pd 2.81, 4 Hf 2.82
15 Pd 0.0000 0.5000 0.1252  2 Hf 2.81, 8 Pd 2.81-2.82, 2 Mg 2.84
16 Hf 0.0000 0.0000 0.0000  12 Pd 2.81-2.82

---

The following is a DFT calculation (PBE) of HfMg2Pd3 after structural relaxation.

Computed properties:
size of the total moment = 0.00 μB per cell
space-group type = P4/mmm, No. 123
ΔE_f = -69.38 kJ per mole of atoms

a b c (Å): 3.1972 3.1972 9.9875
angles (deg): 90.00 90.00 90.00
Closest atoms and distances in Å follow each position.
Positions (direct):
1 Pd 0.0000 0.0000 0.3295  4 Hf 2.83, 4 Mg 2.84
2 Pd 0.0000 0.0000 0.6705  4 Hf 2.83, 4 Mg 2.84
3 Pd 0.0000 0.0000 0.0000  8 Mg 2.76
4 Hf 0.5000 0.5000 0.5000  8 Pd 2.83
5 Mg 0.5000 0.5000 0.1579  8 Pd 2.76-2.84
6 Mg 0.5000 0.5000 0.8421  8 Pd 2.76-2.84

---

The following is a DFT calculation (PBE) of HfMg2Pd3 after structural relaxation.

Computed properties:
size of the total moment = 0.00 μB per cell
space-group type = P-3m1, No. 164
ΔE_f = -69.52 kJ per mole of atoms

a b c (Å): 4.5886 4.5886 11.1849
angles (deg): 90.00 90.00 120.00
Closest atoms and distances in Å follow each position.
Positions (direct):
1 Hf 0.3333 0.6667 0.6702  8 Pd 2.71-2.86
2 Hf 0.6667 0.3333 0.3298  8 Pd 2.71-2.86
3 Pd 0.6667 0.3333 0.5852  4 Hf 2.81-2.86, 4 Mg 2.82-2.85
4 Pd 0.3333 0.6667 0.4148  4 Hf 2.81-2.86, 4 Mg 2.82-2.85
5 Pd 0.0000 0.0000 0.2489  5 Mg 2.78-2.83, 3 Hf 2.80
6 Pd 0.0000 0.0000 0.7511  5 Mg 2.78-2.83, 3 Hf 2.80
7 Pd 0.6667 0.3333 0.0874  1 Hf 2.71, 7 Mg 2.76-2.82
8 Pd 0.3333 0.6667 0.9126  1 Hf 2.71, 7 Mg 2.76-2.82
9 Mg 0.0000 0.0000 0.5000  8 Pd 2.81-2.82
10 Mg 0.0000 0.0000 0.0000  8 Pd 2.78-2.82
11 Mg 0.6667 0.3333 0.8403  8 Pd 2.76-2.85
12 Mg 0.3333 0.6667 0.1597  8 Pd 2.76-2.85

---

The following is a DFT calculation (PBE) of HfMg3Pd after structural relaxation.

Computed properties:
size of the total moment = 0.00 μB per cell
space-group type = Pm-3m, No. 221
ΔE_f = 22.95 kJ per mole of atoms
relative energy among the computed polymorphs = 0 meV/atom

a b c (Å): 4.8439 4.8439 4.8439
angles (deg): 90.00 90.00 90.00
Closest atoms and distances in Å follow each position.
Positions (direct):
1 Pd 0.0000 0.0000 0.0000  6 Mg 2.42
2 Mg 0.5000 0.0000 0.0000  2 Pd 2.42
3 Mg 0.0000 0.5000 0.0000  2 Pd 2.42
4 Mg 0.0000 0.0000 0.5000  2 Pd 2.42
5 Hf 0.5000 0.5000 0.5000  12 Mg 3.43

---

What did the sixth record say?
The following is a DFT calculation (PBE) of HfMg3Pd after structural relaxation.

Computed properties:
size of the total moment = 0.00 μB per cell
space-group type = Pm-3m, No. 221
ΔE_f = 22.95 kJ per mole of atoms
relative energy among the computed polymorphs = 0 meV/atom

a b c (Å): 4.8439 4.8439 4.8439
angles (deg): 90.00 90.00 90.00
Closest atoms and distances in Å follow each position.
Positions (direct):
1 Pd 0.0000 0.0000 0.0000  6 Mg 2.42
2 Mg 0.5000 0.0000 0.0000  2 Pd 2.42
3 Mg 0.0000 0.5000 0.0000  2 Pd 2.42
4 Mg 0.0000 0.0000 0.5000  2 Pd 2.42
5 Hf 0.5000 0.5000 0.5000  12 Mg 3.43

---

Please write out number 5 again, unchanged.
The following is a DFT calculation (PBE) of HfMg2Pd3 after structural relaxation.

Computed properties:
size of the total moment = 0.00 μB per cell
space-group type = P-3m1, No. 164
ΔE_f = -69.52 kJ per mole of atoms

a b c (Å): 4.5886 4.5886 11.1849
angles (deg): 90.00 90.00 120.00
Closest atoms and distances in Å follow each position.
Positions (direct):
1 Hf 0.3333 0.6667 0.6702  8 Pd 2.71-2.86
2 Hf 0.6667 0.3333 0.3298  8 Pd 2.71-2.86
3 Pd 0.6667 0.3333 0.5852  4 Hf 2.81-2.86, 4 Mg 2.82-2.85
4 Pd 0.3333 0.6667 0.4148  4 Hf 2.81-2.86, 4 Mg 2.82-2.85
5 Pd 0.0000 0.0000 0.2489  5 Mg 2.78-2.83, 3 Hf 2.80
6 Pd 0.0000 0.0000 0.7511  5 Mg 2.78-2.83, 3 Hf 2.80
7 Pd 0.6667 0.3333 0.0874  1 Hf 2.71, 7 Mg 2.76-2.82
8 Pd 0.3333 0.6667 0.9126  1 Hf 2.71, 7 Mg 2.76-2.82
9 Mg 0.0000 0.0000 0.5000  8 Pd 2.81-2.82
10 Mg 0.0000 0.0000 0.0000  8 Pd 2.78-2.82
11 Mg 0.6667 0.3333 0.8403  8 Pd 2.76-2.85
12 Mg 0.3333 0.6667 0.1597  8 Pd 2.76-2.85

---

Number 5 is which compound?
HfMg2Pd3

---

What is the formula in the fourth record?
HfMg2Pd3